LuZrN | PBE | optimized geometry

Unit cell a=3.3343 b=3.3343 c=5.5076 alpha=90.00 beta=90.00 gamma=120.00
Closest atoms and distances in Å follow each position.
Sites, in units of the cell vectors:
Lu (0.0000, 0.0000, 0.0000)  3 N 2.33
Zr (0.3333, 0.6667, 0.5343)  3 N 2.30
N (0.6667, 0.3333, 0.7615)  3 Zr 2.30, 3 Lu 2.33

* electronic total energy: -8.264 eV per atom
* ΔE_f (raw): -3.40 eV/f.u.
* total magnetization: 0.00 μB/cell
* SG: P3m1 (156)

=====

PuPd6Au | PBE | optimized geometry

Unit cell a=8.2364 b=5.3449 c=7.2478 alpha=90.00 beta=106.36 gamma=90.00
Closest atoms and distances in Å follow each position.
Sites, in units of the cell vectors:
Pu (0.0000, 0.0000, 0.0000)  10 Pd 2.81-3.07
Pu (0.5000, 0.5000, 0.0000)  10 Pd 2.81-3.07
Pd (0.1423, 0.0000, 0.4398)  5 Pd 2.72-2.84, 3 Au 2.85-3.00
Pd (0.2017, 0.2445, 0.8008)  5 Pd 2.61-2.84, 1 Au 2.71, 2 Pu 2.81-2.83
Pd (0.2017, 0.7555, 0.8008)  5 Pd 2.61-2.84, 1 Au 2.71, 2 Pu 2.81-2.83
Pd (0.2983, 0.2555, 0.1992)  5 Pd 2.61-2.84, 1 Au 2.71, 2 Pu 2.81-2.83
Pd (0.2983, 0.7445, 0.1992)  5 Pd 2.61-2.84, 1 Au 2.71, 2 Pu 2.81-2.83
Pd (0.3577, 0.5000, 0.5602)  5 Pd 2.72-2.84, 3 Au 2.85-3.00
Pd (0.6423, 0.5000, 0.4398)  5 Pd 2.72-2.84, 3 Au 2.85-3.00
Pd (0.7017, 0.2555, 0.8008)  5 Pd 2.61-2.84, 1 Au 2.71, 2 Pu 2.81-2.83
Pd (0.7017, 0.7445, 0.8008)  5 Pd 2.61-2.84, 1 Au 2.71, 2 Pu 2.81-2.83
Pd (0.7983, 0.2445, 0.1992)  5 Pd 2.61-2.84, 1 Au 2.71, 2 Pu 2.81-2.83
Pd (0.7983, 0.7555, 0.1992)  5 Pd 2.61-2.84, 1 Au 2.71, 2 Pu 2.81-2.83
Pd (0.8577, 0.0000, 0.5602)  5 Pd 2.72-2.84, 3 Au 2.85-3.00
Au (0.0000, 0.5000, 0.5000)  10 Pd 2.71-3.00
Au (0.5000, 0.0000, 0.5000)  10 Pd 2.71-3.00

* electronic total energy: -6.143 eV per atom
* formation enthalpy at 0 K: -0.048 eV per atom
* distance to the lowest polymorph of the same formula: 0.288 eV/atom
* total magnetization: 8.53 μB/cell
* SG: C2/m (12)

=====

What is the formula in the second record? PuPd6Au

=====

Which value of total magnetization does entry 1 give? 0.00 μB/cell

=====

Which formula does entry 2 have? PuPd6Au

=====

What is the formula in the second record? PuPd6Au